No. 1
Material: LiPr2Ho
Method: DFT, PBE-GGA
State: optimized geometry

a = 3.6675 Å, b = 3.6675 Å, c = 9.2624 Å
α = 90.00°, β = 90.00°, γ = 90.00°
Fractional positions:
Pr (0.0000, 0.0000, 0.7685)
Pr (0.0000, 0.0000, 0.2315)
Ho (0.5000, 0.5000, 0.5000)
Li (0.5000, 0.5000, 0.0000)

Properties
- SG: P4/mmm, No. 123
- Polymorph energy (0 for the lowest one): 0 meV per atom
- Magnetization: 0.00 Bohr magnetons per cell
- Energy relative to the elements: 0.2 eV per formula unit

***

No. 2
Material: EuZnHg
Method: DFT, PBE-GGA
State: optimized geometry

a = 3.8627 Å, b = 3.8627 Å, c = 5.7707 Å
α = 109.55°, β = 109.55°, γ = 90.00°
Site moments in Bohr magnetons follow the coordinates.
Fractional positions:
Eu (0.9522, 0.9522, 0.9044)  6.85
Zn (0.6290, 0.6290, 0.2580)  -0.01
Hg (0.2688, 0.2688, 0.5377)  -0.01

Properties
- SG: I4mm, No. 107
- Magnetization: 7.03 Bohr magnetons per cell
- Energy relative to the elements: -0.9 eV per formula unit

***

No. 3
Material: MoI
Method: DFT, PBE-GGA
State: optimized geometry

a = 8.8371 Å, b = 11.3955 Å, c = 8.7259 Å
α = 90.00°, β = 90.00°, γ = 90.00°
Fractional positions:
Mo (0.0000, 0.4007, 0.0000)
Mo (0.0000, 0.5993, 0.0000)
Mo (0.2500, 0.3493, 0.2500)
Mo (0.2500, 0.1507, 0.2500)
Mo (0.0000, 0.9007, 0.5000)
Mo (0.0000, 0.0993, 0.5000)
Mo (0.2500, 0.8493, 0.7500)
Mo (0.2500, 0.6507, 0.7500)
Mo (0.5000, 0.4007, 0.5000)
Mo (0.5000, 0.5993, 0.5000)
Mo (0.7500, 0.3493, 0.7500)
Mo (0.7500, 0.1507, 0.7500)
Mo (0.5000, 0.9007, 0.0000)
Mo (0.5000, 0.0993, 0.0000)
Mo (0.7500, 0.8493, 0.2500)
Mo (0.7500, 0.6507, 0.2500)
I (0.0000, 0.0000, 0.2029)
I (0.0000, 0.0000, 0.7971)
I (0.2500, 0.7500, 0.0471)
I (0.2500, 0.7500, 0.4529)
I (0.0000, 0.5000, 0.7029)
I (0.0000, 0.5000, 0.2971)
I (0.2500, 0.2500, 0.5471)
I (0.2500, 0.2500, 0.9529)
I (0.5000, 0.0000, 0.7029)
I (0.5000, 0.0000, 0.2971)
I (0.7500, 0.7500, 0.5471)
I (0.7500, 0.7500, 0.9529)
I (0.5000, 0.5000, 0.2029)
I (0.5000, 0.5000, 0.7971)
I (0.7500, 0.2500, 0.0471)
I (0.7500, 0.2500, 0.4529)

Properties
- Energy relative to the elements, uncorrected: 1.44 eV/f.u.
- SG: Fddd, No. 70
- Polymorph energy (0 for the lowest one): 467 meV per atom
- Magnetization: 0.00 Bohr magnetons per cell

***

No. 4
Material: TiBiSe2
Method: DFT, PBE-GGA
State: optimized geometry

a = 9.3389 Å, b = 3.5611 Å, c = 6.1542 Å
α = 89.99°, β = 76.59°, γ = 89.90°
Fractional positions:
Bi (0.6204, 0.8510, 0.9991)
Bi (0.6201, 0.2274, 0.4992)
Se (0.9499, 0.7927, 0.8924)
Se (0.2907, 0.2844, 0.6058)
Se (0.9498, 0.2860, 0.3924)
Se (0.2908, 0.7911, 0.1058)
Ti (0.1203, 0.7879, 0.4989)
Ti (0.1203, 0.2890, 0.9992)

Properties
- Energy relative to the elements, uncorrected: -3.18 eV/f.u.
- SG: P-1, No. 2
- Magnetization: 0.00 Bohr magnetons per cell